1.
DFT (PBE) results for an optimized crystal structure of OsPb5.

- Calculated formation energy: 0.369 eV/atom
- Calculated density: 11892 kg/m3
- Raw total energy: -27.6 eV/cell
- Relative energy among the computed polymorphs: 0.004 eV per atom
- Symmetry: C2/m, No. 12

Cell: 6.640 6.640 8.455 Å, 70.69 70.69 29.26°
Fractional coordinates of all 6 atoms:
Os 0.028 0.028 0.944
Pb 0.675 0.675 0.671
Pb 0.380 0.380 0.218
Pb 0.393 0.393 0.809
Pb 0.028 0.028 0.444
Pb 0.663 0.663 0.080

=====

2.
DFT (PBE) results for an optimized crystal structure of Os4Pb.

- Calculated formation energy: 2.706 eV/atom
- Calculated density: 15571 kg/m3
- Raw total energy: -35.1 eV/cell
- Relative energy among the computed polymorphs: 0.000 eV per atom
- Symmetry: Im-3m, No. 229

Cell: 5.119 5.119 5.119 Å, 109.47 109.47 109.47°
Last column: magnetic moment on the atom in μB.
Fractional coordinates of all 5 atoms:
Os 0.500 0.000 0.000  0.68
Os 0.500 0.500 0.500  0.68
Os 0.000 0.500 0.000  0.68
Os 0.000 0.000 0.500  0.68
Pb 0.000 0.000 0.000  0.01

=====

3.
DFT (PBE) results for an optimized crystal structure of OsPb5.

- Calculated formation energy: 0.365 eV/atom
- Calculated density: 12536 kg/m3
- Raw total energy: -27.6 eV/cell
- Relative energy among the computed polymorphs: 0.000 eV per atom
- Symmetry: P4/mmm, No. 123

Cell: 3.431 3.431 13.801 Å, 90.00 90.00 90.00°
Fractional coordinates of all 6 atoms:
Os 0.500 0.500 0.000
Pb 0.000 0.000 0.878
Pb 0.000 0.000 0.122
Pb 0.500 0.500 0.680
Pb 0.500 0.500 0.320
Pb 0.000 0.000 0.500

=====

4.
DFT (PBE) results for an optimized crystal structure of OsPb4.

- Calculated formation energy: 0.501 eV/atom
- Calculated density: 11091 kg/m3
- Raw total energy: -23.6 eV/cell
- Symmetry: Pm-3m, No. 221

Cell: 5.343 5.343 5.343 Å, 90.00 90.00 90.00°
Fractional coordinates of all 5 atoms:
Pb 0.000 0.000 0.000
Pb 0.500 0.000 0.500
Pb 0.000 0.500 0.500
Pb 0.500 0.500 0.000
Os 0.500 0.500 0.500

=====

5.
DFT (PBE) results for an optimized crystal structure of Os2Pb3.

- Calculated formation energy: 0.856 eV/atom
- Calculated density: 14802 kg/m3
- Raw total energy: -58.6 eV/cell
- Symmetry: Fdd2, No. 43

Cell: 9.735 8.962 5.486 Å, 80.84 65.35 33.81°
Fractional coordinates of all 10 atoms:
Os 0.415 0.372 0.021
Os 0.192 0.021 0.372
Os 0.878 0.835 0.058
Os 0.229 0.058 0.835
Pb 0.271 0.338 0.570
Pb 0.822 0.570 0.338
Pb 0.912 0.979 0.428
Pb 0.680 0.428 0.979
Pb 0.300 0.700 0.700
Pb 0.550 0.950 0.950

=====

6.
DFT (PBE) results for an optimized crystal structure of OsPb4.

- Calculated formation energy: 0.665 eV/atom
- Calculated density: 11447 kg/m3
- Raw total energy: -22.7 eV/cell
- Symmetry: Im-3m, No. 229

Cell: 5.769 5.769 5.769 Å, 109.47 109.47 109.47°
Last column: magnetic moment on the atom in μB.
Fractional coordinates of all 5 atoms:
Os 0.000 0.000 0.000  0.59
Pb 0.500 0.000 0.000  0.00
Pb 0.500 0.500 0.500  0.00
Pb 0.000 0.500 0.000  0.00
Pb 0.000 0.000 0.500  0.00

=====

7.
DFT (PBE) results for an optimized crystal structure of Os4Pb3.

- Calculated formation energy: 0.602 eV/atom
- Calculated density: 15956 kg/m3
- Raw total energy: -51.8 eV/cell
- Symmetry: I4/mmm, No. 139

Cell: 16.310 16.310 16.310 Å, 169.51 169.51 14.86°
Fractional coordinates of all 7 atoms:
Os 0.879 0.879 0.000
Os 0.121 0.121 0.000
Os 0.574 0.574 0.000
Os 0.426 0.426 0.000
Pb 0.000 0.000 0.000
Pb 0.692 0.692 0.000
Pb 0.308 0.308 0.000

=====

8.
DFT (PBE) results for an optimized crystal structure of Os5Pb3.

- Calculated formation energy: 1.244 eV/atom
- Calculated density: 16445 kg/m3
- Raw total energy: -114.6 eV/cell
- Relative energy among the computed polymorphs: 0.110 eV per atom
- Symmetry: P6_3/mcm, No. 193

Cell: 8.596 8.596 4.963 Å, 90.00 90.00 120.00°
Fractional coordinates of all 16 atoms:
Pb 0.618 0.000 0.250
Pb 0.382 0.000 0.750
Pb 0.000 0.618 0.250
Pb 0.382 0.382 0.250
Pb 0.618 0.618 0.750
Pb 0.000 0.382 0.750
Os 0.333 0.667 0.000
Os 0.667 0.333 0.500
Os 0.667 0.333 0.000
Os 0.333 0.667 0.500
Os 0.170 0.000 0.250
Os 0.830 0.000 0.750
Os 0.000 0.170 0.250
Os 0.830 0.830 0.250
Os 0.170 0.170 0.750
Os 0.000 0.830 0.750

=====

9.
DFT (PBE) results for an optimized crystal structure of Os4Pb.

- Calculated formation energy: 3.785 eV/atom
- Calculated density: 14134 kg/m3
- Raw total energy: -29.7 eV/cell
- Relative energy among the computed polymorphs: 1.078 eV per atom
- Symmetry: Pm-3m, No. 221

Cell: 4.845 4.845 4.845 Å, 90.00 90.00 90.00°
Last column: magnetic moment on the atom in μB.
Fractional coordinates of all 5 atoms:
Pb 0.500 0.500 0.500  -0.01
Os 0.000 0.000 0.000  2.29
Os 0.500 0.000 0.500  0.62
Os 0.000 0.500 0.500  0.62
Os 0.500 0.500 0.000  0.62

=====

10.
DFT (PBE) results for an optimized crystal structure of Os3Pb2.

- Calculated formation energy: 1.111 eV/atom
- Calculated density: 15538 kg/m3
- Raw total energy: -71.1 eV/cell
- Relative energy among the computed polymorphs: 0.000 eV per atom
- Symmetry: Fdd2, No. 43

Cell: 12.484 10.666 6.825 Å, 88.24 58.64 33.12°
Fractional coordinates of all 10 atoms:
Os 0.343 0.539 0.416
Os 0.701 0.416 0.539
Os 0.711 0.907 0.549
Os 0.834 0.549 0.907
Os 0.086 0.914 0.914
Os 0.336 0.164 0.164
Pb 0.547 0.305 0.825
Pb 0.323 0.825 0.305
Pb 0.945 0.703 0.927
Pb 0.425 0.927 0.703

=====

11.
DFT (PBE) results for an optimized crystal structure of Os3Pb2.

- Calculated formation energy: 1.146 eV/atom
- Calculated density: 15076 kg/m3
- Raw total energy: -35.4 eV/cell
- Relative energy among the computed polymorphs: 0.035 eV per atom
- Symmetry: R-3m, No. 166

Cell: 10.047 10.047 10.047 Å, 20.47 20.47 20.47°
Fractional coordinates of all 5 atoms:
Os 0.000 0.000 0.000
Os 0.814 0.814 0.814
Os 0.186 0.186 0.186
Pb 0.400 0.400 0.400
Pb 0.600 0.600 0.600

=====

12.
DFT (PBE) results for an optimized crystal structure of OsPb5.

- Calculated formation energy: 0.446 eV/atom
- Calculated density: 11320 kg/m3
- Raw total energy: -27.1 eV/cell
- Relative energy among the computed polymorphs: 0.081 eV per atom
- Symmetry: Cmmm, No. 65

Cell: 12.069 12.069 4.528 Å, 90.00 90.00 164.17°
Fractional coordinates of all 6 atoms:
Os 0.972 0.028 0.000
Pb 0.366 0.634 0.000
Pb 0.578 0.422 0.000
Pb 0.472 0.528 0.500
Pb 0.784 0.216 0.500
Pb 0.160 0.840 0.500

=====

13.
DFT (PBE) results for an optimized crystal structure of OsPb4.

- Calculated formation energy: 0.634 eV/atom
- Calculated density: 12936 kg/m3
- Raw total energy: -22.9 eV/cell
- Symmetry: I4/m, No. 87

Cell: 5.614 5.614 5.614 Å, 103.37 103.37 122.51°
Fractional coordinates of all 5 atoms:
Os 0.000 0.000 0.000
Pb 0.196 0.637 0.834
Pb 0.637 0.804 0.441
Pb 0.804 0.363 0.166
Pb 0.363 0.196 0.559